Record 1
Density functional theory data (GGA-PBE) for crystalline Ac2HgAs4Rh3 at its relaxed geometry.

Its crystal system is tetragonal. The value obtained for the energy of formation is -775 meV/atom. The calculation puts the magnetization at 0.000 μB/atom. Its energy is -56.9 eV per cell.

The structure belongs to space group P-4m2 (No. 115); the cell edges are 4.505, 4.505 and 10.335 Å and the angles 90.00°, 90.00° and 90.00°. The asymmetric unit holds Ac at (0.000, 0.500, 0.238), Hg at (0.000, 0.000, 0.500), As at (0.000, 0.000, 0.000), As at (0.000, 0.500, 0.650), As at (0.500, 0.500, 0.000), Rh at (0.000, 0.500, 0.890) and Rh at (0.500, 0.500, 0.500).

---

Record 2
Density functional theory data (GGA-PBE) for crystalline AcSnHgAs at its relaxed geometry.

Its crystal system is cubic. The value obtained for the energy of formation is -467 meV/atom. The calculation puts the magnetization at 0.000 μB/atom. Its energy is -59.7 eV per cell.

The structure belongs to space group F-43m (No. 216); the cell edges are 7.626, 7.626 and 7.626 Å and the angles 90.00°, 90.00° and 90.00°. The asymmetric unit holds Ac at (0.000, 0.000, 0.000), Sn at (0.000, 0.000, 0.500), Hg at (0.250, 0.250, 0.250) and As at (0.250, 0.250, 0.750).

---

Record 3
Density functional theory data (GGA-PBE) for crystalline SrAcHgAs at its relaxed geometry.

Its crystal system is cubic. The value obtained for the energy of formation is -684 meV/atom. The calculation puts the magnetization at 0.000 μB/atom. Its energy is -53.9 eV per cell.

The structure belongs to space group F-43m (No. 216); the cell edges are 7.876, 7.876 and 7.876 Å and the angles 90.00°, 90.00° and 90.00°. The asymmetric unit holds Sr at (0.000, 0.000, 0.000), Ac at (0.000, 0.000, 0.500), Hg at (0.250, 0.250, 0.250) and As at (0.250, 0.250, 0.750).

---

Record 4
Density functional theory data (GGA-PBE) for crystalline Ac4HgTe2As at its relaxed geometry.

Its crystal system is monoclinic. The calculation puts the magnetization at 0.000 μB/atom. Its energy is -37.4 eV per cell.

The structure belongs to space group P2/m (No. 10); the cell edges are 8.216, 4.583 and 8.222 Å and the angles 90.00°, 108.57° and 90.00°. The asymmetric unit holds Ac at (0.230, 0.000, 0.235), Ac at (0.235, 0.500, 0.750), Hg at (0.000, 0.000, 0.500), Te at (0.500, 0.000, 0.000), Te at (0.500, 0.500, 0.500) and As at (0.000, 0.500, 0.000).

---

Record 5
Density functional theory data (GGA-PBE) for crystalline AcHoAs2 at its relaxed geometry.

Its crystal system is cubic. The value obtained for the energy of formation is -1048 meV/atom. The calculation puts the magnetization at 0.000 μB/atom. Its energy is -88.7 eV per cell.

The structure belongs to space group Fm-3m (No. 225); the cell edges are 7.447, 7.447 and 7.447 Å and the angles 90.00°, 90.00° and 90.00°. The asymmetric unit holds Ac at (0.000, 0.000, 0.000), Ho at (0.000, 0.000, 0.500) and As at (0.250, 0.250, 0.250).

---

Record 6
Density functional theory data (GGA-PBE) for crystalline AcHoAs2 at its relaxed geometry.

Its crystal system is trigonal. The value obtained for the energy of formation is -512 meV/atom. The calculation puts the magnetization at 0.091 μB/atom. Its energy is -60.1 eV per cell.

The structure belongs to space group R-3m (No. 166, hexagonal axes); the cell edges are 4.2822, 4.2822 and 26.4926 Å and the angles 90.00°, 90.00° and 120.00°. The asymmetric unit holds Ac at (0.0000, 0.0000, 0.0000), Ho at (0.0000, 0.0000, 0.5000) and As at (0.0000, 0.0000, 0.1117).

---

Record 7
Density functional theory data (GGA-PBE) for crystalline AcHoAs2 at its relaxed geometry.

Its crystal system is trigonal. The value obtained for the energy of formation is -1466 meV/atom. The calculation puts the magnetization at 0.000 μB/atom. Its energy is -71.5 eV per cell.

The structure belongs to space group R-3m (No. 166, hexagonal axes); the cell edges are 4.3284, 4.3284 and 21.1979 Å and the angles 90.00°, 90.00° and 120.00°. The asymmetric unit holds Ac at (0.0000, 0.0000, 0.0000), Ho at (0.0000, 0.0000, 0.5000) and As at (0.0000, 0.0000, 0.2419).

---

Record 8
Density functional theory data (GGA-PBE) for crystalline AcHoAs2 at its relaxed geometry.

Its crystal system is tetragonal. The value obtained for the energy of formation is -1006 meV/atom. The calculation puts the magnetization at 0.000 μB/atom. Its energy is -22.0 eV per cell.

The structure belongs to space group P4/mmm (No. 123); the cell edges are 5.283, 5.283 and 3.739 Å and the angles 90.00°, 90.00° and 90.00°. The asymmetric unit holds Ac at (0.000, 0.000, 0.000), Ho at (0.500, 0.500, 0.000) and As at (0.000, 0.500, 0.500).

---

Record 9
Density functional theory data (GGA-PBE) for crystalline AcHoAs2 at its relaxed geometry.

Its crystal system is trigonal. The value obtained for the energy of formation is -1351 meV/atom. The calculation puts the magnetization at 0.000 μB/atom. Its energy is -70.2 eV per cell.

The structure belongs to space group R3m (No. 160, hexagonal axes); the cell edges are 4.2535, 4.2535 and 22.1076 Å and the angles 90.00°, 90.00° and 120.00°. The asymmetric unit holds Ac at (0.0000, 0.0000, 0.0000), Ho at (0.0000, 0.0000, 0.1710), As at (0.0000, 0.0000, 0.5775) and As at (0.0000, 0.0000, 0.7611).

---

Record 10
Density functional theory data (GGA-PBE) for crystalline Ac2HoAs4Ir3 at its relaxed geometry.

Its crystal system is tetragonal. The value obtained for the energy of formation is -872 meV/atom. The calculation puts the magnetization at 0.000 μB/atom. Its energy is -66.7 eV per cell.

The structure belongs to space group P-4m2 (No. 115); the cell edges are 4.454, 4.454 and 10.863 Å and the angles 90.00°, 90.00° and 90.00°. The asymmetric unit holds Ac at (0.000, 0.500, 0.228), Ho at (0.000, 0.000, 0.500), As at (0.000, 0.000, 0.000), As at (0.000, 0.500, 0.657), As at (0.500, 0.500, 0.000), Ir at (0.000, 0.500, 0.894) and Ir at (0.500, 0.500, 0.500).

---

Record 11
Density functional theory data (GGA-PBE) for crystalline Ac2LaHoAs4 at its relaxed geometry.

Its crystal system is monoclinic. The value obtained for the energy of formation is -1483 meV/atom. The calculation puts the magnetization at 0.000 μB/atom. Its energy is -48.2 eV per cell.

The structure belongs to space group P2/m (No. 10); the cell edges are 7.611, 4.402 and 7.618 Å and the angles 90.00°, 109.43° and 90.00°. The asymmetric unit holds Ac at (0.000, 0.000, 0.000), Ac at (0.500, 0.500, 0.000), La at (0.000, 0.500, 0.500), Ho at (0.500, 0.000, 0.500), As at (0.252, 0.000, 0.735) and As at (0.263, 0.500, 0.269).

---

Record 12
Density functional theory data (GGA-PBE) for crystalline AcLa2HoAs4 at its relaxed geometry.

Its crystal system is monoclinic. The value obtained for the energy of formation is -1500 meV/atom. The calculation puts the magnetization at 0.000 μB/atom. Its energy is -49.1 eV per cell.

The structure belongs to space group P2/m (No. 10); the cell edges are 7.541, 4.363 and 7.547 Å and the angles 90.00°, 109.42° and 90.00°. The asymmetric unit holds Ac at (0.000, 0.000, 0.000), La at (0.500, 0.000, 0.500), La at (0.500, 0.500, 0.000), Ho at (0.000, 0.500, 0.500), As at (0.244, 0.000, 0.737) and As at (0.252, 0.500, 0.262).

---

Record 13
Density functional theory data (GGA-PBE) for crystalline AcNdHo2As4 at its relaxed geometry.

Its crystal system is monoclinic. The value obtained for the energy of formation is -1477 meV/atom. The calculation puts the magnetization at 0.000 μB/atom. Its energy is -48.4 eV per cell.

The structure belongs to space group P2/m (No. 10); the cell edges are 7.373, 4.262 and 7.383 Å and the angles 90.00°, 109.44° and 90.00°. The asymmetric unit holds Ac at (0.000, 0.000, 0.000), Nd at (0.000, 0.500, 0.500), Ho at (0.500, 0.000, 0.500), Ho at (0.500, 0.500, 0.000), As at (0.265, 0.000, 0.749) and As at (0.270, 0.500, 0.263).

---

Record 14
Density functional theory data (GGA-PBE) for crystalline Ac2NdHoAs4 at its relaxed geometry.

Its crystal system is monoclinic. The value obtained for the energy of formation is -1468 meV/atom. The calculation puts the magnetization at 0.000 μB/atom. Its energy is -47.9 eV per cell.

The structure belongs to space group P2/m (No. 10); the cell edges are 7.565, 4.372 and 7.575 Å and the angles 90.00°, 109.43° and 90.00°. The asymmetric unit holds Ac at (0.000, 0.000, 0.000), Ac at (0.500, 0.500, 0.000), Nd at (0.000, 0.500, 0.500), Ho at (0.500, 0.000, 0.500), As at (0.249, 0.000, 0.732) and As at (0.261, 0.500, 0.271).

---

Record 15
Density functional theory data (GGA-PBE) for crystalline AcHoAsO6 at its relaxed geometry.

Its crystal system is trigonal. The calculation puts the magnetization at 0.116 μB/atom. Its energy is -64.2 eV per cell.

The structure belongs to space group P312 (No. 149); the cell edges are 5.4950, 5.4950 and 5.2182 Å and the angles 90.00°, 90.00° and 120.00°. The asymmetric unit holds Ac at (0.0000, 0.0000, 0.0000), Ho at (0.6667, 0.3333, 0.5000), As at (0.3333, 0.6667, 0.5000) and O at (0.0512, 0.3914, 0.2944).

---

Record 16
Density functional theory data (GGA-PBE) for crystalline Ac2HoAsO6 at its relaxed geometry.

Its crystal system is monoclinic. The calculation puts the magnetization at 0.000 μB/atom. Its energy is -149.7 eV per cell.

The structure belongs to space group C2/m (No. 12); the cell edges are 10.429, 5.971 and 6.031 Å and the angles 90.00°, 124.60° and 90.00°. The asymmetric unit holds Ac at (0.249, 0.000, 0.228), Ho at (0.000, 0.000, 0.500), As at (0.000, 0.500, 0.000), O at (0.066, 0.253, 0.820) and O at (0.247, 0.500, 0.358).

---

Record 17
Density functional theory data (GGA-PBE) for crystalline Ac2HoAs3Pd4 at its relaxed geometry.

Its crystal system is tetragonal. The value obtained for the energy of formation is -966 meV/atom. The calculation puts the magnetization at 0.000 μB/atom. Its energy is -57.2 eV per cell.

The structure belongs to space group P-4m2 (No. 115); the cell edges are 4.389, 4.389 and 11.477 Å and the angles 90.00°, 90.00° and 90.00°. The asymmetric unit holds Ac at (0.000, 0.500, 0.218), Ho at (0.000, 0.000, 0.500), As at (0.000, 0.500, 0.873), As at (0.500, 0.500, 0.500), Pd at (0.000, 0.000, 0.000), Pd at (0.000, 0.500, 0.652) and Pd at (0.500, 0.500, 0.000).

---

Record 18
Density functional theory data (GGA-PBE) for crystalline AcHoAs2Pd5 at its relaxed geometry.

Its crystal system is tetragonal. The value obtained for the energy of formation is -759 meV/atom. The calculation puts the magnetization at 0.000 μB/atom. Its energy is -50.8 eV per cell.

The structure belongs to space group P4/mmm (No. 123); the cell edges are 4.376, 4.376 and 9.227 Å and the angles 90.00°, 90.00° and 90.00°. The asymmetric unit holds Ac at (0.000, 0.000, 0.000), Ho at (0.000, 0.000, 0.500), As at (0.500, 0.500, 0.364), Pd at (0.000, 0.500, 0.239) and Pd at (0.500, 0.500, 0.000).

---

Record 19
Density functional theory data (GGA-PBE) for crystalline AcHoAs2Pd2 at its relaxed geometry.

Its crystal system is trigonal. The value obtained for the energy of formation is -1183 meV/atom. The calculation puts the magnetization at 0.000 μB/atom. Its energy is -35.5 eV per cell.

The structure belongs to space group P-3m1 (No. 164); the cell edges are 4.4221, 4.4221 and 7.8337 Å and the angles 90.00°, 90.00° and 120.00°. The asymmetric unit holds Ac at (0.0000, 0.0000, 0.0000), Ho at (0.0000, 0.0000, 0.5000), As at (0.3333, 0.6667, 0.2670) and Pd at (0.3333, 0.6667, 0.7165).

---

Record 20
Density functional theory data (GGA-PBE) for crystalline Ac2PmHoAs4 at its relaxed geometry.

Its crystal system is monoclinic. The value obtained for the energy of formation is -1471 meV/atom. The calculation puts the magnetization at 0.000 μB/atom. Its energy is -47.9 eV per cell.

The structure belongs to space group P2/m (No. 10); the cell edges are 7.551, 4.363 and 7.560 Å and the angles 90.00°, 109.43° and 90.00°. The asymmetric unit holds Ac at (0.000, 0.000, 0.000), Ac at (0.500, 0.500, 0.000), Pm at (0.000, 0.500, 0.500), Ho at (0.500, 0.000, 0.500), As at (0.248, 0.000, 0.731) and As at (0.261, 0.500, 0.271).